This record from Alexandria via LeMat-Bulk describes Ac3Pr7Sm2 after structural relaxation. The functional is PBE.

a = 6.155 Å, b = 3.784 Å, c = 19.756 Å
α = 90.00°, β = 92.86°, γ = 90.00°
Fractional coordinates of all 12 atoms:
Ac: 0.000 0.000 0.000
Ac: 0.276 0.500 0.635
Ac: 0.724 0.500 0.365
Pr: 0.198 0.500 0.147
Pr: 0.244 0.000 0.462
Pr: 0.301 0.000 0.825
Pr: 0.500 0.500 0.000
Pr: 0.699 0.000 0.175
Pr: 0.756 0.000 0.538
Pr: 0.802 0.500 0.853
Sm: 0.215 0.000 0.293
Sm: 0.785 0.000 0.707

Output
Crystal system   monoclinic
Fermi-level density of states   17.5 states/eV/cell
Energy relative to the lowest polymorph listed for this composition   0.0 kJ/mol of atoms